DFT (GGA-PBEsol) results for a relaxed structure of ZrCdN3.

Values from the calculation:
Size of the total moment ... 2.5 Bohr magnetons per cell
Formation energy from raw total energies ... 602 meV per atom

Cell lengths 4.2109, 4.2109, 4.2109 Å; angles 90.00, 90.00, 90.00 degrees
With the nearest neighbours (Å) after each atom.
Fractional coordinates of all 5 atoms:
Zr 0.0000 0.0000 0.0000  6 N 2.11
N 0.5000 0.0000 0.0000  2 Zr 2.11
N 0.0000 0.0000 0.5000  2 Zr 2.11
N 0.0000 0.5000 0.0000  2 Zr 2.11
Cd 0.5000 0.5000 0.5000  12 N 2.98

***

DFT (GGA-PBEsol) results for a relaxed structure of ZrCdN2.

Values from the calculation:
Size of the total moment ... 0.0 Bohr magnetons per cell
Formation energy from raw total energies ... -777 meV per atom

Cell lengths 5.0017, 5.0017, 6.1084 Å; angles 114.17, 114.17, 90.00 degrees
With the nearest neighbours (Å) after each atom.
Fractional coordinates of all 8 atoms:
N 0.6250 0.5905 0.7500  2 Zr 2.07, 2 Cd 2.27
N 0.8405 0.3750 0.2500  2 Zr 2.07, 2 Cd 2.27
N 0.4095 0.8750 0.2500  2 Zr 2.07, 2 Cd 2.27
N 0.1250 0.1595 0.7500  2 Zr 2.07, 2 Cd 2.27
Cd 0.0000 0.0000 0.0000  4 N 2.27
Cd 0.2500 0.7500 0.5000  4 N 2.27
Zr 0.7500 0.2500 0.5000  4 N 2.07
Zr 0.5000 0.5000 0.0000  4 N 2.07

***

DFT (GGA-PBEsol) results for a relaxed structure of Na3NbCd.

Values from the calculation:
DFT formation energy ... 1.20 eV per atom
Size of the total moment ... 4.4 Bohr magnetons per cell

Cell lengths 5.4981, 5.4981, 5.4981 Å; angles 90.00, 90.00, 90.00 degrees
With the nearest neighbours (Å) after each atom.
Fractional coordinates of all 5 atoms:
Na 0.0000 0.0000 0.5000  2 Cd 2.75
Na 0.0000 0.5000 0.0000  2 Cd 2.75
Na 0.5000 0.0000 0.0000  2 Cd 2.75
Cd 0.0000 0.0000 0.0000  6 Na 2.75
Nb 0.5000 0.5000 0.5000  12 Na 3.89

***

DFT (GGA-PBEsol) results for a relaxed structure of Na2Cd2O3.

Values from the calculation:
Size of the total moment ... 0.0 Bohr magnetons per cell
Formation energy from raw total energies ... -1128 meV per atom

Cell lengths 5.9971, 6.4957, 6.2572 Å; angles 118.34, 90.00, 90.00 degrees
With the nearest neighbours (Å) after each atom.
Fractional coordinates of all 14 atoms:
Na 0.1633 0.0950 0.3784  4 O 2.31-2.52
Na 0.3367 0.0950 0.8784  4 O 2.31-2.52
Na 0.8367 0.9050 0.6216  4 O 2.31-2.52
Na 0.6633 0.9050 0.1216  4 O 2.31-2.52
O 0.4563 0.6866 0.7757  3 Cd 2.18-2.30, 1 Na 2.31
O 0.5437 0.3134 0.2243  3 Cd 2.18-2.30, 1 Na 2.31
O 0.5000 0.0000 0.5000  2 Cd 2.19, 4 Na 2.34-2.36
O 0.0000 0.0000 0.0000  2 Cd 2.19, 4 Na 2.34-2.36
O 0.0437 0.6866 0.2757  3 Cd 2.18-2.30, 1 Na 2.31
O 0.9563 0.3134 0.7243  3 Cd 2.18-2.30, 1 Na 2.31
Cd 0.8735 0.3498 0.0988  4 O 2.18-2.30
Cd 0.1265 0.6502 0.9012  4 O 2.18-2.30
Cd 0.3735 0.6502 0.4012  4 O 2.18-2.30
Cd 0.6265 0.3498 0.5988  4 O 2.18-2.30

***

DFT (GGA-PBEsol) results for a relaxed structure of NaCdPO2.

Values from the calculation:
Size of the total moment ... 2.7 Bohr magnetons per cell
Formation energy from raw total energies ... 282 meV per atom

Cell lengths 4.2669, 4.2669, 4.9799 Å; angles 90.00, 90.00, 90.00 degrees
With the nearest neighbours (Å) after each atom.
Fractional coordinates of all 5 atoms:
Na 0.5000 0.5000 0.5000  4 P 3.02, 8 O 3.28
Cd 0.0000 0.0000 0.0000  4 O 2.13
O 0.0000 0.5000 0.0000  2 Cd 2.13
O 0.5000 0.0000 0.0000  2 Cd 2.13
P 0.0000 0.0000 0.5000  2 Cd 2.49

***

DFT (GGA-PBEsol) results for a relaxed structure of Na2Cd3P4O14.

Values from the calculation:
Size of the total moment ... 0.0 Bohr magnetons per cell
Formation energy from raw total energies ... -2014 meV per atom

Cell lengths 5.6593, 7.0555, 7.8686 Å; angles 77.16, 82.59, 67.99 degrees
With the nearest neighbours (Å) after each atom.
Fractional coordinates of all 23 atoms:
O 0.8147 0.7626 0.1558  1 P 1.55
O 0.0354 0.9380 0.7229  1 P 1.52
O 0.9646 0.0620 0.2771  1 P 1.52
O 0.5460 0.2659 0.4258  1 P 1.53
O 0.6294 0.2377 0.8569  1 P 1.55
O 0.7459 0.4276 0.1480  2 P 1.60-1.63
O 0.3706 0.7623 0.1431  1 P 1.55
O 0.3139 0.3014 0.1201  1 P 1.51
O 0.1853 0.2374 0.8442  1 P 1.55
O 0.6861 0.6986 0.8799  1 P 1.51
O 0.4540 0.7341 0.5742  1 P 1.53
O 0.2541 0.5724 0.8520  2 P 1.60-1.63
O 0.9441 0.3450 0.4395  1 P 1.54
O 0.0559 0.6550 0.5605  1 P 1.54
Cd 0.0000 0.0000 0.0000  6 O 2.29-2.37
Cd 0.1875 0.5364 0.3064  6 O 2.27-2.38
Cd 0.8125 0.4636 0.6936  6 O 2.27-2.38
Na 0.5881 0.0079 0.6823  4 O 2.30-2.44
Na 0.4119 0.9921 0.3177  4 O 2.30-2.44
P 0.1986 0.7341 0.6665  4 O 1.52-1.63
P 0.6530 0.6731 0.0757  4 O 1.51-1.60
P 0.3470 0.3269 0.9243  4 O 1.51-1.60
P 0.8014 0.2659 0.3335  4 O 1.52-1.63

***

DFT (GGA-PBEsol) results for a relaxed structure of NaCdP2O.

Values from the calculation:
Size of the total moment ... 1.6 Bohr magnetons per cell
Formation energy from raw total energies ... 1011 meV per atom
Distance to the lowest polymorph of the same formula ... 410 meV/atom

Cell lengths 3.9658, 4.8839, 4.8839 Å; angles 90.00, 90.00, 90.00 degrees
With the nearest neighbours (Å) after each atom.
Fractional coordinates of all 5 atoms:
P 0.0000 0.5000 0.0000  2 Na 2.44
P 0.0000 0.0000 0.5000  2 Na 2.44
Cd 0.5000 0.5000 0.5000  8 P 3.15, 4 O 3.45
Na 0.0000 0.0000 0.0000  2 O 1.98
O 0.5000 0.0000 0.0000  2 Na 1.98

***

DFT (GGA-PBEsol) results for a relaxed structure of NaCdP2O.

Values from the calculation:
Size of the total moment ... 1.8 Bohr magnetons per cell
Formation energy from raw total energies ... 601 meV per atom
Distance to the lowest polymorph of the same formula ... 0 meV/atom

Cell lengths 4.1924, 5.0280, 5.0280 Å; angles 90.00, 90.00, 90.00 degrees
With the nearest neighbours (Å) after each atom.
Fractional coordinates of all 5 atoms:
P 0.0000 0.0000 0.5000  2 Cd 2.51
P 0.0000 0.5000 0.0000  2 Cd 2.51
Na 0.5000 0.5000 0.5000  8 P 3.27, 4 O 3.56
Cd 0.0000 0.0000 0.0000  2 O 2.10
O 0.5000 0.0000 0.0000  2 Cd 2.10

***

DFT (GGA-PBEsol) results for a relaxed structure of Na3CdRh8O16.

Values from the calculation:
Size of the total moment ... 0.0 Bohr magnetons per cell
Formation energy from raw total energies ... -993 meV per atom

Cell lengths 3.0522, 8.9469, 10.7516 Å; angles 90.18, 90.00, 90.00 degrees
With the nearest neighbours (Å) after each atom.
Fractional coordinates of all 28 atoms:
Rh 0.5000 0.5872 0.1051  6 O 1.98-2.07
Rh 0.0000 0.4443 0.3833  6 O 2.00-2.03
Rh 0.0000 0.9452 0.1175  6 O 1.98-2.03
Rh 0.0000 0.4092 0.9009  6 O 2.00-2.03
Rh 0.5000 0.5525 0.6156  6 O 2.01-2.07
Rh 0.5000 0.0590 0.8836  6 O 2.01-2.06
Rh 0.5000 0.0886 0.3953  6 O 1.98-2.04
Rh 0.0000 0.9121 0.5976  6 O 2.01-2.05
Na 0.0000 0.2638 0.1579  8 O 2.36-2.52
Na 0.5000 0.2347 0.6564  8 O 2.37-2.60
Na 0.0000 0.7637 0.3422  8 O 2.37-2.52
O 0.0000 0.4174 0.5678  3 Rh 2.00-2.01
O 0.5000 0.9528 0.7139  3 Rh 2.01-2.05
O 0.5000 0.3050 0.3412  3 Rh 2.02
O 0.5000 0.8875 0.4758  3 Rh 2.00-2.02
O 0.5000 0.5830 0.4302  3 Rh 2.01-2.03
O 0.0000 0.1960 0.8382  3 Rh 2.02
O 0.0000 0.6970 0.6638  3 Rh 2.05-2.07
O 0.5000 0.0832 0.0699  3 Rh 2.01-2.03
O 0.5000 0.8055 0.1601  3 Rh 2.03-2.04
O 0.0000 0.9155 0.9314  3 Rh 2.02-2.06
O 0.0000 0.5347 0.2139  3 Rh 1.98-2.00
O 0.0000 0.0369 0.2859  3 Rh 1.98
O 0.5000 0.4722 0.7924  3 Rh 2.00-2.03
O 0.0000 0.1168 0.5187  3 Rh 2.02-2.04
O 0.0000 0.6162 0.9776  3 Rh 2.02-2.07
O 0.5000 0.3830 0.0232  3 Rh 2.03
Cd 0.5000 0.7370 0.8404  8 O 2.36-2.46

***

DFT (GGA-PBEsol) results for a relaxed structure of NaCdRh4O8.

Values from the calculation:
Size of the total moment ... 0.0 Bohr magnetons per cell
Formation energy from raw total energies ... -929 meV per atom

Cell lengths 3.0556, 8.9976, 10.7801 Å; angles 90.46, 90.00, 90.00 degrees
With the nearest neighbours (Å) after each atom.
Fractional coordinates of all 28 atoms:
Rh 0.2500 0.5893 0.9011  6 O 2.00-2.06
Rh 0.7500 0.9487 0.8840  6 O 2.01-2.07
Rh 0.2500 0.0513 0.1160  6 O 2.01-2.07
Rh 0.2500 0.0916 0.6010  6 O 2.00-2.07
Rh 0.7500 0.9084 0.3990  6 O 2.00-2.07
Rh 0.7500 0.4107 0.0989  6 O 2.00-2.06
Rh 0.2500 0.5569 0.3826  6 O 2.02-2.06
Rh 0.7500 0.4431 0.6174  6 O 2.02-2.06
O 0.7500 0.1958 0.1630  3 Rh 2.06-2.07
O 0.2500 0.9688 0.2914  3 Rh 2.00-2.04
O 0.2500 0.4510 0.2147  3 Rh 2.00-2.04
O 0.7500 0.9163 0.0681  3 Rh 2.01-2.02
O 0.2500 0.5858 0.5692  3 Rh 2.03-2.06
O 0.7500 0.6938 0.3384  3 Rh 2.02-2.03
O 0.7500 0.5490 0.7853  3 Rh 2.00-2.04
O 0.2500 0.3062 0.6616  3 Rh 2.02-2.03
O 0.7500 0.0312 0.7086  3 Rh 2.00-2.04
O 0.2500 0.3864 0.9766  3 Rh 2.00-2.03
O 0.2500 0.8834 0.5266  3 Rh 2.03-2.07
O 0.7500 0.1166 0.4734  3 Rh 2.03-2.07
O 0.2500 0.0837 0.9319  3 Rh 2.01-2.02
O 0.7500 0.4142 0.4308  3 Rh 2.03-2.06
O 0.7500 0.6136 0.0234  3 Rh 2.00-2.03
O 0.2500 0.8042 0.8370  3 Rh 2.06-2.07
Cd 0.7500 0.7637 0.6609  8 O 2.36-2.46
Cd 0.2500 0.2363 0.3391  8 O 2.36-2.46
Na 0.2500 0.7348 0.1580  8 O 2.37-2.63
Na 0.7500 0.2652 0.8420  8 O 2.37-2.63

***

DFT (GGA-PBEsol) results for a relaxed structure of Na2CdS2O8.

Values from the calculation:
Size of the total moment ... 0.0 Bohr magnetons per cell
Formation energy from raw total energies ... -1641 meV per atom

Cell lengths 6.4950, 6.4950, 8.6900 Å; angles 71.18, 71.18, 78.42 degrees
With the nearest neighbours (Å) after each atom.
Fractional coordinates of all 26 atoms:
O 0.9920 0.6916 0.3305  1 S 1.50
O 0.8787 0.4193 0.2508  1 S 1.49
O 0.3084 0.0080 0.1695  1 S 1.50
O 0.1213 0.5807 0.7492  1 S 1.49
O 0.9520 0.7714 0.0488  1 S 1.48
O 0.0080 0.3084 0.6695  1 S 1.50
O 0.7429 0.4861 0.8672  1 S 1.48
O 0.4861 0.7429 0.3672  1 S 1.48
O 0.5139 0.2571 0.6328  1 S 1.48
O 0.4193 0.8787 0.7508  1 S 1.49
O 0.5807 0.1213 0.2492  1 S 1.49
O 0.2286 0.0480 0.4512  1 S 1.48
O 0.0480 0.2286 0.9512  1 S 1.48
O 0.7714 0.9520 0.5488  1 S 1.48
O 0.6916 0.9920 0.8305  1 S 1.50
O 0.2571 0.5139 0.1328  1 S 1.48
Na 0.3062 0.4181 0.4374  4 O 2.33-2.51
Na 0.5819 0.6938 0.0626  4 O 2.33-2.51
Na 0.4181 0.3062 0.9374  4 O 2.33-2.51
Na 0.6938 0.5819 0.5626  4 O 2.33-2.51
Cd 0.0676 0.9324 0.7500  6 O 2.24-2.39
Cd 0.9324 0.0676 0.2500  6 O 2.24-2.39
S 0.5975 0.0237 0.6864  4 O 1.48-1.50
S 0.4025 0.9763 0.3136  4 O 1.48-1.50
S 0.0237 0.5975 0.1864  4 O 1.48-1.50
S 0.9763 0.4025 0.8136  4 O 1.48-1.50

***

DFT (GGA-PBEsol) results for a relaxed structure of Na2Cd3Si3O10.

Values from the calculation:
Size of the total moment ... 0.0 Bohr magnetons per cell
Formation energy from raw total energies ... -2109 meV per atom

Cell lengths 5.1216, 8.6845, 11.0037 Å; angles 93.97, 90.00, 107.15 degrees
With the nearest neighbours (Å) after each atom.
Fractional coordinates of all 36 atoms:
O 0.1657 0.3143 0.8959  1 Si 1.63
O 0.9404 0.9072 0.8485  1 Si 1.62
O 0.6714 0.1241 0.8275  2 Si 1.67-1.68
O 0.3120 0.5591 0.6718  1 Si 1.65
O 0.1486 0.3143 0.3959  1 Si 1.63
O 0.7529 0.4409 0.8282  1 Si 1.65
O 0.2920 0.7018 0.9659  1 Si 1.64
O 0.9668 0.9072 0.3485  1 Si 1.62
O 0.4527 0.1241 0.3275  2 Si 1.67-1.68
O 0.6880 0.4409 0.3282  1 Si 1.65
O 0.5473 0.8759 0.6725  2 Si 1.67-1.68
O 0.5902 0.2982 0.5341  1 Si 1.64
O 0.0332 0.0928 0.6515  1 Si 1.62
O 0.8343 0.6857 0.1041  1 Si 1.63
O 0.8514 0.6857 0.6041  1 Si 1.63
O 0.0596 0.0928 0.1515  1 Si 1.62
O 0.3286 0.8759 0.1725  2 Si 1.67-1.68
O 0.7080 0.2982 0.0341  1 Si 1.64
O 0.4098 0.7018 0.4659  1 Si 1.64
O 0.2471 0.5591 0.1718  1 Si 1.65
Cd 0.6294 0.6834 0.2940  5 O 2.22-2.34
Cd 0.0540 0.6834 0.7940  5 O 2.22-2.34
Cd 0.9460 0.3166 0.2060  5 O 2.22-2.34
Cd 0.3706 0.3166 0.7060  5 O 2.22-2.34
Cd 0.0000 0.5000 0.5000  6 O 2.23-2.40
Cd 0.5000 0.5000 0.0000  6 O 2.23-2.40
Na 0.1906 0.9051 0.5321  5 O 2.33-2.47
Na 0.8094 0.0949 0.4679  5 O 2.33-2.47
Na 0.7144 0.9051 0.0321  5 O 2.33-2.47
Na 0.2856 0.0949 0.9679  5 O 2.33-2.47
Si 0.4595 0.3022 0.3989  4 O 1.63-1.68
Si 0.5405 0.6978 0.6011  4 O 1.63-1.68
Si 0.1573 0.6978 0.1011  4 O 1.63-1.68
Si 0.8427 0.3022 0.8989  4 O 1.63-1.68
Si 0.8183 0.0000 0.7500  4 O 1.62-1.67
Si 0.1817 0.0000 0.2500  4 O 1.62-1.67

***

> Which value of size of the total moment does entry 7 give?

1.6 Bohr magnetons per cell

***

> Number 1 is which compound?

ZrCdN3

***

> The highest size of the total moment belongs to which entry?

Na3NbCd

***

> Which formula does entry 8 have?

NaCdP2O